# RbTmAgBr5, optimized geometry, DFT PBE
data_RbTmAgBr5
_chemical_formula_sum 'Rb4 Tm4 Ag4 Br20'
_symmetry_space_group_name_H-M 'C 1 2/c 1'
_symmetry_Int_Tables_number 15
_symmetry_space_group_name_Hall '-C 2yc'
_cell_length_a 9.286
_cell_length_b 13.011
_cell_length_c 10.639
_cell_angle_alpha 90.00
_cell_angle_beta 111.21
_cell_angle_gamma 90.00
loop_
_atom_site_label
_atom_site_type_symbol
_atom_site_fract_x
_atom_site_fract_y
_atom_site_fract_z
_atom_site_occupancy
Rb1 Rb 0.000 0.156 0.250 1
Tm1 Tm 0.000 0.500 0.000 1
Ag1 Ag 0.000 0.189 0.750 1
Br1 Br 0.000 0.432 0.250 1
Br2 Br 0.103 0.304 0.589 1
Br3 Br 0.196 0.059 0.939 1
# total DFT energy (no corrections) = -3.54 eV per atom
# M_tot = 0.00 μB/cell
# V = 299.6 Å³/f.u.
# formation energy from raw total energies = -1.461 eV per atom



# RbTmAgBr6, optimized geometry, DFT PBE
data_RbTmAgBr6
_chemical_formula_sum 'Rb1 Tm1 Ag1 Br6'
_symmetry_space_group_name_H-M 'P 1'
_symmetry_Int_Tables_number 1
_symmetry_space_group_name_Hall 'P 1'
_cell_length_a 7.097
_cell_length_b 7.105
_cell_length_c 7.688
_cell_angle_alpha 92.29
_cell_angle_beta 92.48
_cell_angle_gamma 115.28
loop_
_atom_site_label
_atom_site_type_symbol
_atom_site_fract_x
_atom_site_fract_y
_atom_site_fract_z
_atom_site_occupancy
Rb1 Rb 0.000 0.000 0.000 1
Tm1 Tm 0.336 0.665 0.501 1
Ag1 Ag 0.681 0.320 0.501 1
Br1 Br 0.025 0.358 0.682 1
Br2 Br 0.031 0.624 0.261 1
Br3 Br 0.379 0.968 0.742 1
Br4 Br 0.405 0.371 0.286 1
Br5 Br 0.630 0.593 0.716 1
Br6 Br 0.642 0.976 0.319 1
# total DFT energy (no corrections) = -3.32 eV per atom
# M_tot = 0.90 μB/cell
# V = 349.5 Å³/f.u.
# formation energy from raw total energies = -1.283 eV per atom



# RbUAg2Br8, optimized geometry, DFT PBE
data_RbUAg2Br8
_chemical_formula_sum 'Rb2 U2 Ag4 Br16'
_symmetry_space_group_name_H-M 'C 1 2/m 1'
_symmetry_Int_Tables_number 12
_symmetry_space_group_name_Hall '-C 2y'
_cell_length_a 11.161
_cell_length_b 8.197
_cell_length_c 10.356
_cell_angle_alpha 90.00
_cell_angle_beta 94.17
_cell_angle_gamma 90.00
loop_
_atom_site_label
_atom_site_type_symbol
_atom_site_fract_x
_atom_site_fract_y
_atom_site_fract_z
_atom_site_occupancy
Rb1 Rb 0.000 0.000 0.000 1
U1 U 0.000 0.000 0.500 1
Ag1 Ag 0.232 0.500 0.269 1
Br1 Br 0.014 0.231 0.686 1
Br2 Br 0.192 0.500 0.032 1
Br3 Br 0.245 0.000 0.483 1
# total DFT energy (no corrections) = -3.59 eV per atom
# M_tot = 1.94 μB/cell
# V = 472.4 Å³/f.u.
# formation energy from raw total energies = -0.979 eV per atom



# RbVAgBr6, optimized geometry, DFT PBE
data_RbVAgBr6
_chemical_formula_sum 'Rb1 V1 Ag1 Br6'
_symmetry_space_group_name_H-M 'P 3 1 2'
_symmetry_Int_Tables_number 149
_symmetry_space_group_name_Hall 'P 3 2'
_cell_length_a 7.1141
_cell_length_b 7.1141
_cell_length_c 7.4514
_cell_angle_alpha 90.00
_cell_angle_beta 90.00
_cell_angle_gamma 120.00
loop_
_atom_site_label
_atom_site_type_symbol
_atom_site_fract_x
_atom_site_fract_y
_atom_site_fract_z
_atom_site_occupancy
Rb1 Rb 0.0000 0.0000 0.0000 1
V1 V 0.6667 0.3333 0.5000 1
Ag1 Ag 0.3333 0.6667 0.5000 1
Br1 Br 0.3895 0.0369 0.6949 1
# total DFT energy (no corrections) = -3.41 eV per atom
# M_tot = 0.94 μB/cell
# V = 326.6 Å³/f.u.
# formation energy from raw total energies = -0.860 eV per atom



Which of these has the lowest M_tot?
RbTmAgBr5



What did the second record say?
# RbTmAgBr6, optimized geometry, DFT PBE
data_RbTmAgBr6
_chemical_formula_sum 'Rb1 Tm1 Ag1 Br6'
_symmetry_space_group_name_H-M 'P 1'
_symmetry_Int_Tables_number 1
_symmetry_space_group_name_Hall 'P 1'
_cell_length_a 7.097
_cell_length_b 7.105
_cell_length_c 7.688
_cell_angle_alpha 92.29
_cell_angle_beta 92.48
_cell_angle_gamma 115.28
loop_
_atom_site_label
_atom_site_type_symbol
_atom_site_fract_x
_atom_site_fract_y
_atom_site_fract_z
_atom_site_occupancy
Rb1 Rb 0.000 0.000 0.000 1
Tm1 Tm 0.336 0.665 0.501 1
Ag1 Ag 0.681 0.320 0.501 1
Br1 Br 0.025 0.358 0.682 1
Br2 Br 0.031 0.624 0.261 1
Br3 Br 0.379 0.968 0.742 1
Br4 Br 0.405 0.371 0.286 1
Br5 Br 0.630 0.593 0.716 1
Br6 Br 0.642 0.976 0.319 1
# total DFT energy (no corrections) = -3.32 eV per atom
# M_tot = 0.90 μB/cell
# V = 349.5 Å³/f.u.
# formation energy from raw total energies = -1.283 eV per atom



The highest M_tot belongs to which entry?
RbUAg2Br8